BaCaTcC2 after structural relaxation. Source: Alexandria via LeMat-Bulk, functional PBE.

## Properties
formation energy	1.172	eV/atom
energy	-26.880	eV/cell

```
data_BaCaTcC2
_chemical_formula_sum 'Ba1 Ca1 Tc1 C2'
_cell_length_a 4.269
_cell_length_b 4.269
_cell_length_c 5.113
_cell_angle_alpha 90.00
_cell_angle_beta 90.00
_cell_angle_gamma 90.00
_space_group_name_H-M_alt 'P 4/m m m'
_space_group_IT_number 123
_space_group_name_Hall '-P 4 2'
loop_
_atom_site_label
_atom_site_type_symbol
_atom_site_fract_x
_atom_site_fract_y
_atom_site_fract_z
Ba1 Ba 0.000 0.000 0.000
Ca1 Ca 0.500 0.500 0.000
Tc1 Tc 0.500 0.500 0.500
C1 C 0.000 0.500 0.500
```

***

Tl3CdSb3 after structural relaxation. Source: Alexandria via LeMat-Bulk, functional PBE.

## Properties
energy	-81.605	eV/cell
raw formation energy	-3	meV/atom

```
data_Tl3CdSb3
_chemical_formula_sum 'Tl12 Cd4 Sb12'
_cell_length_a 12.452
_cell_length_b 5.088
_cell_length_c 15.239
_cell_angle_alpha 90.00
_cell_angle_beta 110.17
_cell_angle_gamma 90.00
_space_group_name_H-M_alt 'C 1 2/m 1'
_space_group_IT_number 12
loop_
_space_group_symop_operation_xyz
'x,y,z'
'-x,-y,-z'
'-x,y,-z'
'x,-y,z'
'x+1/2,y+1/2,z'
'-x+1/2,-y+1/2,-z'
'-x+1/2,y+1/2,-z'
'x+1/2,-y+1/2,z'
loop_
_atom_site_label
_atom_site_type_symbol
_atom_site_fract_x
_atom_site_fract_y
_atom_site_fract_z
Tl1 Tl 0.019 0.000 0.350
Tl2 Tl 0.099 0.000 0.916
Tl3 Tl 0.240 0.500 0.779
Cd1 Cd 0.220 0.000 0.606
Sb1 Sb 0.074 0.500 0.229
Sb2 Sb 0.122 0.500 0.057
Sb3 Sb 0.122 0.500 0.517
```

***

KCaYO3 after structural relaxation. Source: Alexandria via LeMat-Bulk, functional PBE.

## Properties
energy	-79.782	eV/cell
raw formation energy	-2576	meV/atom

```
data_KCaYO3
_chemical_formula_sum 'K2 Ca2 Y2 O6'
_cell_length_a 7.341
_cell_length_b 3.465
_cell_length_c 10.047
_cell_angle_alpha 90.00
_cell_angle_beta 91.62
_cell_angle_gamma 90.00
_space_group_name_H-M_alt 'P 1 21/m 1'
_space_group_IT_number 11
loop_
_space_group_symop_operation_xyz
'x,y,z'
'-x,-y,-z'
'-x,y+1/2,-z'
'x,-y+1/2,z'
loop_
_atom_site_label
_atom_site_type_symbol
_atom_site_fract_x
_atom_site_fract_y
_atom_site_fract_z
K1 K 0.130 0.250 0.214
Ca1 Ca 0.165 0.250 0.562
Y1 Y 0.397 0.750 0.875
O1 O 0.145 0.750 0.429
O2 O 0.242 0.250 0.788
O3 O 0.388 0.750 0.090
```

***

Ba2Zn3AgPt4 after structural relaxation. Source: Alexandria via LeMat-Bulk, functional PBE.

## Properties
formation energy	-0.543	eV/atom
energy	-40.115	eV/cell

```
data_Ba2Zn3AgPt4
_chemical_formula_sum 'Ba2 Zn3 Ag1 Pt4'
_cell_length_a 4.373
_cell_length_b 4.373
_cell_length_c 11.280
_cell_angle_alpha 90.00
_cell_angle_beta 90.00
_cell_angle_gamma 90.00
_space_group_name_H-M_alt 'P -4 m 2'
_space_group_IT_number 115
loop_
_space_group_symop_operation_xyz
'x,y,z'
'y,-x,-z'
'-x,-y,z'
'-y,x,-z'
'-x,y,z'
'-y,-x,-z'
'x,-y,z'
'y,x,-z'
loop_
_atom_site_label
_atom_site_type_symbol
_atom_site_fract_x
_atom_site_fract_y
_atom_site_fract_z
Ba1 Ba 0.000 0.500 0.248
Zn1 Zn 0.000 0.500 0.876
Zn2 Zn 0.500 0.500 0.500
Ag1 Ag 0.000 0.000 0.500
Pt1 Pt 0.000 0.000 0.000
Pt2 Pt 0.000 0.500 0.649
Pt3 Pt 0.500 0.500 0.000
```

***

BaBe4Hg after structural relaxation. Source: Alexandria via LeMat-Bulk, functional PBE.

## Properties
formation energy	0.656	eV/atom
energy	-52.769	eV/cell

```
data_BaBe4Hg
_chemical_formula_sum 'Ba4 Be16 Hg4'
_cell_length_a 7.568
_cell_length_b 7.568
_cell_length_c 7.568
_cell_angle_alpha 90.00
_cell_angle_beta 90.00
_cell_angle_gamma 90.00
_space_group_name_H-M_alt 'F -4 3 m'
_space_group_IT_number 216
_space_group_name_Hall 'F -4 2 3'
loop_
_atom_site_label
_atom_site_type_symbol
_atom_site_fract_x
_atom_site_fract_y
_atom_site_fract_z
Ba1 Ba 0.000 0.000 0.000
Be1 Be 0.104 0.104 0.604
Hg1 Hg 0.250 0.250 0.250
```

***

Ca2LaYSe4 after structural relaxation. Source: Alexandria via LeMat-Bulk, functional PBE.

## Properties
energy	-44.680	eV/cell
raw formation energy	-1918	meV/atom

```
data_Ca2LaYSe4
_chemical_formula_sum 'Ca2 La1 Y1 Se4'
_cell_length_a 7.246
_cell_length_b 4.178
_cell_length_c 7.348
_cell_angle_alpha 90.00
_cell_angle_beta 109.12
_cell_angle_gamma 90.00
_space_group_name_H-M_alt 'P 1 2/m 1'
_space_group_IT_number 10
loop_
_space_group_symop_operation_xyz
'x,y,z'
'-x,-y,-z'
'-x,y,-z'
'x,-y,z'
loop_
_atom_site_label
_atom_site_type_symbol
_atom_site_fract_x
_atom_site_fract_y
_atom_site_fract_z
Ca1 Ca 0.000 0.000 0.000
Ca2 Ca 0.500 0.500 0.000
La1 La 0.000 0.500 0.500
Y1 Y 0.500 0.000 0.500
Se1 Se 0.258 0.500 0.250
Se2 Se 0.261 0.000 0.756
```